Version P
VASP calculation (PBE) on a relaxed structure of CuP4W.

The calculation puts the size of the total moment at 0.000 μB per formula unit. The space group is F-43m (216). Its crystal system is cubic.

Cell: 4.9063 4.9063 4.9063 Å, 60.00 60.00 60.00°
Closest atoms and distances in Å follow each position.
Atoms (fractional coordinates):
Cu1 0.0000 0.0000 0.0000  12 P 2.88, 4 W 3.00
P1 0.1280 0.6240 0.6240  6 P 2.43-2.47
P2 0.6240 0.1280 0.6240  6 P 2.43-2.47
P3 0.6240 0.6240 0.1280  6 P 2.43-2.47
P4 0.6240 0.6240 0.6240  6 P 2.43-2.47
W1 0.2500 0.2500 0.2500  12 P 2.87, 4 Cu 3.00

---

Version Q
VASP calculation (PBE) on a relaxed structure of CuP4W.

The calculation puts the size of the total moment at 0.000 μB per formula unit. The space group is P-1 (2). Its crystal system is triclinic.

Cell: 5.6643 5.9500 6.0021 Å, 90.77 110.94 91.16°
Closest atoms and distances in Å follow each position.
Atoms (fractional coordinates):
Cu1 0.1439 0.3121 0.3222  4 P 2.23-2.29
Cu2 0.8561 0.6879 0.6778  4 P 2.23-2.29
P1 0.0120 0.3460 0.6301  2 Cu 2.23-2.29, 2 P 2.25-2.40, 1 W 2.43
P2 0.1474 0.9254 0.9376  1 P 2.25, 1 Cu 2.27, 2 W 2.47-2.50
P3 0.3744 0.8208 0.5271  2 P 2.25
P4 0.4435 0.4080 0.1672  1 P 2.25, 1 Cu 2.27
P5 0.5565 0.5920 0.8328  1 P 2.25, 1 Cu 2.27
P6 0.6256 0.1792 0.4729  2 P 2.25
P7 0.8526 0.0746 0.0624  1 P 2.25, 1 Cu 2.27, 2 W 2.47-2.50
P8 0.9880 0.6540 0.3699  2 Cu 2.23-2.29, 2 P 2.25-2.40, 1 W 2.43
W1 0.4248 0.1778 0.8008  7 P 2.43-2.62
W2 0.5752 0.8222 0.1992  7 P 2.43-2.62

---

Pick version Q: it beats the second-best structure by 899 meV/atom.

---

Version P
VASP calculation (PBE) on a relaxed structure of YCu3P.

The calculation puts the size of the total moment at 0.000 μB per formula unit. The space group is Pm-3m (221). Its crystal system is cubic.

Cell: 4.4129 4.4129 4.4129 Å, 90.00 90.00 90.00°
Closest atoms and distances in Å follow each position.
Atoms (fractional coordinates):
Y1 0.0000 0.0000 0.0000  12 Cu 3.12
Cu1 0.0000 0.5000 0.5000  2 P 2.21
Cu2 0.5000 0.0000 0.5000  2 P 2.21
Cu3 0.5000 0.5000 0.0000  2 P 2.21
P1 0.5000 0.5000 0.5000  6 Cu 2.21

---

Version Q
VASP calculation (PBE) on a relaxed structure of YCu3P.

The calculation puts the size of the total moment at 0.000 μB per formula unit. The space group is Pm-3m (221). Its crystal system is cubic.

Cell: 4.9860 4.9860 4.9860 Å, 90.00 90.00 90.00°
Closest atoms and distances in Å follow each position.
Atoms (fractional coordinates):
Y1 0.0000 0.0000 0.0000  6 Cu 2.49
Cu1 0.0000 0.0000 0.5000  2 Y 2.49
Cu2 0.0000 0.5000 0.0000  2 Y 2.49
Cu3 0.5000 0.0000 0.0000  2 Y 2.49
P1 0.5000 0.5000 0.5000  12 Cu 3.53

---

Pick version P: it beats the second-best structure by 1593 meV/atom.